# 1
Computed, not measured: a relaxed Pm2CuS3 crystal at the PBE level of DFT.

Properties
**DOS(E_F)**: 0.2133 states/eV/atom
**V**: 255.5 Å³/cell
**Raw total energy**: -5.898 eV per atom

Cell lengths 3.792, 4.292, 15.697 Å; angles 90.00, 90.00, 90.00 degrees
Space group Immm (No. 71)
Symmetry-distinct sites (fractional):
Pm 0.000 0.000 0.140
Cu 0.000 0.000 0.500
S 0.000 0.000 0.324
S 0.000 0.500 0.500

=====

# 2
Computed, not measured: a relaxed Ho2ScP3Rh12 crystal at the PBE level of DFT.

Properties
**DOS(E_F)**: 0.8428 states/eV/atom
**V**: 871.2 Å³/cell
**Formation enthalpy at 0 K**: -0.43 eV/atom
**Raw total energy**: -7.094 eV per atom

Cell lengths 8.8501, 8.8501, 12.8438 Å; angles 90.00, 90.00, 120.00 degrees
Space group R-3m (No. 166, hexagonal axes)
Symmetry-distinct sites (fractional):
Ho 0.0000 0.0000 0.1272
Sc 0.0000 0.0000 0.5000
P 0.0000 0.5000 0.0000
Rh 0.0059 0.5029 0.8260
Rh 0.0251 0.5125 0.3822